1.
YFe2NiW, optimized geometry, DFT PBE-GGA; E_form = 1.44 eV per atom
1.0
-2.633 1.949 -2.998
-2.482 -4.705 -0.878
-2.933 0.951 3.195
Y Ni Fe W
1 1 2 1
direct
0.000 0.500 0.000
0.500 0.500 0.500
0.000 0.000 0.500
0.500 0.000 0.000
0.000 0.000 0.000

=====

2.
Li3Zn2Ag6, optimized geometry, DFT PBE-GGA; E_form = -0.09 eV per atom
1.0
4.927 -1.095 2.109
-1.007 5.266 1.453
4.410 2.670 10.824
Li Zn Ag
3 2 6
direct
0.000 0.000 0.000
0.513 0.778 0.466
0.487 0.222 0.534
0.369 0.427 0.154
0.631 0.573 0.846
0.159 0.606 0.825
0.747 0.111 0.815
0.841 0.394 0.175
0.253 0.889 0.185
0.889 0.688 0.540
0.111 0.312 0.460

=====

3.
MnRePdSe, optimized geometry, DFT PBE-GGA; relative energy among the computed polymorphs = 68 meV per atom
1.0
-0.914 2.585 1.122
-2.898 -0.793 -0.533
-0.395 -3.025 6.649
Mn Re Pd Se
1 1 1 1
direct
0.500 0.500 0.048
0.000 0.000 0.242
0.000 0.000 0.834
0.000 0.500 0.514

=====

4.
K3Cd2Sn4, optimized geometry, DFT PBE-GGA; E_form = -0.13 eV per atom; relative energy among the computed polymorphs = 41 meV per atom
1.0
-3.947 2.776 0.558
-5.207 -3.774 3.054
-0.739 0.942 10.945
K Cd Sn
3 2 4
direct
0.634 0.121 0.611
0.000 0.000 0.000
0.366 0.879 0.389
0.654 0.472 0.221
0.346 0.528 0.779
0.286 0.348 0.082
0.921 0.516 0.640
0.079 0.484 0.360
0.714 0.652 0.918